Compound: LaCr4In
Source: the Alexandria database
Functional: PBE
Structure: optimized geometry

Properties
The calculation puts the total energy at -7.19 eV per atom.

```
data_LaCr4In
_chemical_formula_sum 'La4 Cr16 In4'
_space_group_name_H-M_alt 'F -4 3 m'
_space_group_IT_number 216
_space_group_name_Hall 'F -4 2 3'
_cell_length_a 7.3468
_cell_length_b 7.3468
_cell_length_c 7.3468
_cell_angle_alpha 90.00
_cell_angle_beta 90.00
_cell_angle_gamma 90.00
loop_
_atom_site_label
_atom_site_type_symbol
_atom_site_fract_x
_atom_site_fract_y
_atom_site_fract_z
La1 La 0.0000 0.0000 0.0000
Cr1 Cr 0.1271 0.1271 0.6271
In1 In 0.2500 0.2500 0.2500
```